Entry 1:
Mg2TlCdHg4: relaxed, PBE.

As for the uncorrected energy: -0.03762 hartree per atom. For the total moment, the calculation gives 0.000 μB per cell. The formation energy comes out at -64 meV/atom.

The space group is R-3m (No. 166, hexagonal axes) and the conventional cell measures 5.1193, 5.1193 and 25.4736 Å, with angles of 90.00, 90.00 and 120.00 degrees. Symmetry generates all atoms from Mg at (0.0000, 0.0000, 0.2500), Tl at (0.0000, 0.0000, 0.0000), Cd at (0.0000, 0.0000, 0.5000), Hg at (0.0000, 0.0000, 0.1280) and Hg at (0.0000, 0.0000, 0.3801).

=====

Entry 2:
Mg2Tl2CdHg5: relaxed, PBE.

As for the uncorrected energy: -0.03992 hartree per atom. For the total moment, the calculation gives 0.000 μB per cell. The formation energy comes out at -52 meV/atom.

The space group is P4/mbm (No. 127) and the conventional cell measures 12.4073, 12.4073 and 3.3554 Å, with angles of 90.00, 90.00 and 90.00 degrees. Symmetry generates all atoms from Mg at (0.1372, 0.3628, 0.0000), Tl at (0.1752, 0.6752, 0.0000), Cd at (0.0000, 0.0000, 0.0000), Hg at (0.0000, 0.5000, 0.5000) and Hg at (0.0431, 0.1978, 0.5000).

=====

Entry 3:
MgTlCd2Hg4: relaxed, PBE.

As for the uncorrected energy: -0.03353 hartree per atom. For the total moment, the calculation gives 0.000 μB per cell. The formation energy comes out at -37 meV/atom.

The space group is R-3m (No. 166, hexagonal axes) and the conventional cell measures 5.1666, 5.1666 and 25.6529 Å, with angles of 90.00, 90.00 and 120.00 degrees. Symmetry generates all atoms from Mg at (0.0000, 0.0000, 0.0000), Tl at (0.0000, 0.0000, 0.5000), Cd at (0.0000, 0.0000, 0.2459), Hg at (0.0000, 0.0000, 0.1155) and Hg at (0.0000, 0.0000, 0.3674).

=====

Entry 4:
Mg5TlCd2Hg2: relaxed, PBE.

As for the uncorrected energy: -0.04906 hartree per atom. For the total moment, the calculation gives 0.000 μB per cell. The formation energy comes out at -58 meV/atom.

The space group is P4/mbm (No. 127) and the conventional cell measures 10.3786, 10.3786 and 4.3916 Å, with angles of 90.00, 90.00 and 90.00 degrees. Symmetry generates all atoms from Mg at (0.0000, 0.5000, 0.0000), Mg at (0.0882, 0.1969, 0.0000), Tl at (0.0000, 0.0000, 0.5000), Cd at (0.1687, 0.6687, 0.5000) and Hg at (0.1270, 0.3730, 0.5000).

=====

Entry 5:
MgTlCd2Hg6: relaxed, PBE.

As for the uncorrected energy: -0.02794 hartree per atom. For the total moment, the calculation gives 0.000 μB per cell. The formation energy comes out at 0 meV/atom.

The space group is C2/c (No. 15) and the conventional cell measures 9.1713, 8.5331 and 13.2306 Å, with angles of 90.00, 97.15 and 90.00 degrees. Symmetry generates all atoms from Mg at (0.0000, 0.1219, 0.2500), Tl at (0.0000, 0.4784, 0.2500), Cd at (0.1624, 0.1972, 0.8138), Hg at (0.0575, 0.3187, 0.0174), Hg at (0.1625, 0.0107, 0.5958) and Hg at (0.2475, 0.3620, 0.6054).

=====

Entry 6:
Mg5Tl2CdHg2: relaxed, PBE.

As for the uncorrected energy: -0.05473 hartree per atom. For the total moment, the calculation gives 0.000 μB per cell. The formation energy comes out at -67 meV/atom.

The space group is P4/mbm (No. 127) and the conventional cell measures 12.1613, 12.1613 and 3.3123 Å, with angles of 90.00, 90.00 and 90.00 degrees. Symmetry generates all atoms from Mg at (0.0000, 0.5000, 0.0000), Mg at (0.0218, 0.2042, 0.0000), Tl at (0.1777, 0.6777, 0.5000), Cd at (0.0000, 0.0000, 0.5000) and Hg at (0.1391, 0.3609, 0.5000).

=====

Entry 7:
TmMg2Cd2Hg2: relaxed, PBE.

As for the uncorrected energy: -0.05987 hartree per atom. For the total moment, the calculation gives 0.000 μB per cell. The formation energy comes out at -187 meV/atom.

The space group is R-3m (No. 166, hexagonal axes) and the conventional cell measures 4.8912, 4.8912 and 22.9847 Å, with angles of 90.00, 90.00 and 120.00 degrees. Symmetry generates all atoms from Tm at (0.0000, 0.0000, 0.0000), Mg at (0.0000, 0.0000, 0.1398), Cd at (0.0000, 0.0000, 0.4241) and Hg at (0.0000, 0.0000, 0.2727).

=====

Entry 8:
Y2MgCdHg4: relaxed, PBE.

As for the uncorrected energy: -0.09207 hartree per atom. For the total moment, the calculation gives 0.000 μB per cell. The formation energy comes out at -425 meV/atom.

The space group is R-3m (No. 166, hexagonal axes) and the conventional cell measures 5.0881, 5.0881 and 24.9373 Å, with angles of 90.00, 90.00 and 120.00 degrees. Symmetry generates all atoms from Y at (0.0000, 0.0000, 0.2477), Mg at (0.0000, 0.0000, 0.0000), Cd at (0.0000, 0.0000, 0.5000), Hg at (0.0000, 0.0000, 0.1220) and Hg at (0.0000, 0.0000, 0.3720).

=====

Entry 9:
YMg2CdHg2: relaxed, PBE.

As for the uncorrected energy: -0.08104 hartree per atom. For the total moment, the calculation gives 0.000 μB per cell. The formation energy comes out at -343 meV/atom.

The space group is P-3m1 (No. 164) and the conventional cell measures 4.8931, 4.8931 and 6.5887 Å, with angles of 90.00, 90.00 and 120.00 degrees. Symmetry generates all atoms from Y at (0.0000, 0.0000, 0.0000), Mg at (0.3333, 0.6667, 0.6874), Cd at (0.0000, 0.0000, 0.5000) and Hg at (0.3333, 0.6667, 0.2128).

=====

Entry 10:
YMgCdHg2: relaxed, PBE.

As for the uncorrected energy: -0.07825 hartree per atom. For the total moment, the calculation gives 0.000 μB per cell. The formation energy comes out at -214 meV/atom.

The space group is P3m1 (No. 156) and the conventional cell measures 4.9608, 4.9608 and 6.0633 Å, with angles of 90.00, 90.00 and 120.00 degrees. Symmetry generates all atoms from Y at (0.0000, 0.0000, 0.0000), Mg at (0.3333, 0.6667, 0.6472), Cd at (0.6667, 0.3333, 0.3091), Hg at (0.3333, 0.6667, 0.1794) and Hg at (0.6667, 0.3333, 0.7812).

=====

Entry 11:
Mg5ZnCd2Hg2: relaxed, PBE.

As for the uncorrected energy: -0.04489 hartree per atom. For the total moment, the calculation gives 0.000 μB per cell. The formation energy comes out at -53 meV/atom.

The space group is P4/mbm (No. 127) and the conventional cell measures 11.9050, 11.9050 and 3.1615 Å, with angles of 90.00, 90.00 and 90.00 degrees. Symmetry generates all atoms from Mg at (0.0000, 0.5000, 0.0000), Mg at (0.0111, 0.1953, 0.0000), Zn at (0.0000, 0.0000, 0.5000), Cd at (0.1709, 0.6709, 0.5000) and Hg at (0.1493, 0.3507, 0.5000).

=====

Entry 12:
Mg5Zn2Cd2Hg: relaxed, PBE.

As for the uncorrected energy: -0.04847 hartree per atom. For the total moment, the calculation gives 0.000 μB per cell. The formation energy comes out at -54 meV/atom.

The space group is P4/mbm (No. 127) and the conventional cell measures 10.0745, 10.0745 and 4.1673 Å, with angles of 90.00, 90.00 and 90.00 degrees. Symmetry generates all atoms from Mg at (0.0000, 0.5000, 0.0000), Mg at (0.0822, 0.1999, 0.0000), Zn at (0.1246, 0.3754, 0.5000), Cd at (0.1698, 0.6698, 0.5000) and Hg at (0.0000, 0.0000, 0.5000).

=====

Entry 13:
Mg2ZnCdHg4: relaxed, PBE.

As for the uncorrected energy: -0.03021 hartree per atom. For the total moment, the calculation gives 0.000 μB per cell. The formation energy comes out at 1 meV/atom.

The space group is F222 (No. 22) and the conventional cell measures 8.2691, 8.2894 and 11.5819 Å, with angles of 90.00, 90.00 and 90.00 degrees. Symmetry generates all atoms from Mg at (0.0000, 0.0000, 0.0000), Mg at (0.2500, 0.2500, 0.2500), Zn at (0.2500, 0.2500, 0.7500), Cd at (0.0000, 0.0000, 0.5000), Hg at (0.0000, 0.0000, 0.2458) and Hg at (0.2500, 0.2500, 0.5073).

=====

Entry 14:
Mg2ZnCdHg8: relaxed, PBE.

As for the uncorrected energy: -0.02235 hartree per atom. For the total moment, the calculation gives 0.000 μB per cell. The formation energy comes out at 41 meV/atom.

The space group is P-3m1 (No. 164) and the conventional cell measures 6.3815, 6.3815 and 8.3049 Å, with angles of 90.00, 90.00 and 120.00 degrees. Symmetry generates all atoms from Mg at (0.3333, 0.6667, 0.4092), Zn at (0.0000, 0.0000, 0.5000), Cd at (0.0000, 0.0000, 0.0000), Hg at (0.1763, 0.3525, 0.7255) and Hg at (0.3333, 0.6667, 0.0626).

=====

Entry 15:
Mg2ZnCdHg: relaxed, PBE.

As for the uncorrected energy: -0.04606 hartree per atom. For the total moment, the calculation gives 0.000 μB per cell. The formation energy comes out at -117 meV/atom.

The space group is P2_1/m (No. 11) and the conventional cell measures 6.8743, 4.3893 and 7.2128 Å, with angles of 90.00, 106.57 and 90.00 degrees. Symmetry generates all atoms from Mg at (0.0109, 0.2500, 0.1760), Mg at (0.3823, 0.7500, 0.6336), Zn at (0.0436, 0.2500, 0.5901), Cd at (0.3320, 0.2500, 0.9410) and Hg at (0.3071, 0.7500, 0.2281).

=====

Entry 16:
Mg3ZnCd3Hg2: relaxed, PBE.

As for the uncorrected energy: -0.04232 hartree per atom. For the total moment, the calculation gives 0.000 μB per cell. The formation energy comes out at -106 meV/atom.

The space group is P-62m (No. 189) and the conventional cell measures 8.1957, 8.1957 and 3.2588 Å, with angles of 90.00, 90.00 and 120.00 degrees. Symmetry generates all atoms from Mg at (0.0000, 0.3719, 0.0000), Zn at (0.0000, 0.0000, 0.0000), Cd at (0.0000, 0.7193, 0.5000) and Hg at (0.3333, 0.6667, 0.5000).

=====

Entry 17:
MnCdHg: relaxed, PBE.

As for the uncorrected energy: -0.11214 hartree per atom. For the total moment, the calculation gives 16.692 μB per cell. The formation energy comes out at 411 meV/atom.

The space group is F-43m (No. 216) and the conventional cell measures 6.5434, 6.5434 and 6.5434 Å, with angles of 90.00, 90.00 and 90.00 degrees. Symmetry generates all atoms from Mn at (0.0000, 0.0000, 0.0000), Cd at (0.0000, 0.0000, 0.5000) and Hg at (0.2500, 0.2500, 0.2500).

=====

Entry 18:
Mn2CdHg: relaxed, PBE.

As for the uncorrected energy: -0.16568 hartree per atom. For the total moment, the calculation gives 15.086 μB per cell. The formation energy comes out at 381 meV/atom. For the excess energy over the best structure of this formula in the dataset, the calculation gives 154 meV per atom.

The space group is C2/m (No. 12) and the conventional cell measures 9.3831, 3.0110 and 5.3210 Å, with angles of 90.00, 100.15 and 90.00 degrees. Symmetry generates all atoms from Mn at (0.2492, 0.0000, 0.2533), Cd at (0.0000, 0.0000, 0.5000) and Hg at (0.0000, 0.5000, 0.0000).

=====

Entry 19:
MnCdHg3: relaxed, PBE.

As for the uncorrected energy: -0.06644 hartree per atom. For the total moment, the calculation gives 3.817 μB per cell. The formation energy comes out at 390 meV/atom. For the excess energy over the best structure of this formula in the dataset, the calculation gives 0 meV per atom.

The space group is Pm-3m (No. 221) and the conventional cell measures 5.2949, 5.2949 and 5.2949 Å, with angles of 90.00, 90.00 and 90.00 degrees. Symmetry generates all atoms from Mn at (0.0000, 0.0000, 0.0000), Cd at (0.5000, 0.5000, 0.5000) and Hg at (0.0000, 0.0000, 0.5000).

=====

Entry 20:
Mn2CdHg: relaxed, PBE.

As for the uncorrected energy: -0.16573 hartree per atom. For the total moment, the calculation gives 7.513 μB per cell. The formation energy comes out at 379 meV/atom. For the excess energy over the best structure of this formula in the dataset, the calculation gives 153 meV per atom.

The space group is P2/m (No. 10) and the conventional cell measures 4.9222, 3.0485 and 5.2868 Å, with angles of 90.00, 111.17 and 90.00 degrees. Symmetry generates all atoms from Mn at (0.0000, 0.0000, 0.0000), Mn at (0.0000, 0.5000, 0.5000), Cd at (0.5000, 0.0000, 0.5000) and Hg at (0.5000, 0.5000, 0.0000).

=====

Entry 21:
MnCdHg: relaxed, PBE.

As for the uncorrected energy: -0.11882 hartree per atom. For the total moment, the calculation gives 7.542 μB per cell. The formation energy comes out at 229 meV/atom.

The space group is I4mm (No. 107) and the conventional cell measures 3.1005, 3.1005 and 12.1406 Å, with angles of 90.00, 90.00 and 90.00 degrees. Symmetry generates all atoms from Mn at (0.0000, 0.0000, 0.0000), Cd at (0.0000, 0.0000, 0.3430) and Hg at (0.0000, 0.0000, 0.6542).

=====

Entry 22:
Mn2CdHg: relaxed, PBE.

As for the uncorrected energy: -0.16689 hartree per atom. For the total moment, the calculation gives 14.780 μB per cell. The formation energy comes out at 348 meV/atom. For the excess energy over the best structure of this formula in the dataset, the calculation gives 121 meV per atom.

The space group is Cm (No. 8) and the conventional cell measures 9.8491, 3.0445 and 4.9583 Å, with angles of 90.00, 104.15 and 90.00 degrees. Symmetry generates all atoms from Mn at (0.0000, 0.0000, 0.0000), Mn at (0.2290, 0.5000, 0.2536), Cd at (0.4832, 0.0000, 0.4783) and Hg at (0.2475, 0.0000, 0.7761).